[1]
# YZr2Al3Cu2Ni | OQMD | PBE | relaxed
data_YZr2Al3Cu2Ni
_chemical_formula_sum 'Y2 Zr4 Al6 Cu4 Ni2'
_cell_length_a 3.974
_cell_length_b 11.669
_cell_length_c 6.754
_cell_angle_alpha 90.00
_cell_angle_beta 90.00
_cell_angle_gamma 90.00
_symmetry_space_group_name_H-M 'A m m 2'
_symmetry_Int_Tables_number 38
loop_
_symmetry_equiv_pos_as_xyz
'x,y,z'
'-x,-y,z'
'-x,y,z'
'x,-y,z'
'x,y+1/2,z+1/2'
'-x,-y+1/2,z+1/2'
'-x,y+1/2,z+1/2'
'x,-y+1/2,z+1/2'
loop_
_atom_site_label
_atom_site_fract_x
_atom_site_fract_y
_atom_site_fract_z
_atom_site_occupancy
Y1 0.000 0.000 0.000 1
Zr1 0.000 0.204 0.387 1
Al1 0.500 0.000 0.353 1
Al2 0.500 0.123 0.704 1
Cu1 0.500 0.171 0.091 1
Ni1 0.000 0.000 0.580 1
# - total DFT energy (no corrections) (eV/atom) = -5.8055
# - size of the total moment (μB per cell) = 0.095


[2]
# Sr2TaMoC6 | OQMD | PBE | relaxed
data_Sr2TaMoC6
_chemical_formula_sum 'Sr4 Ta2 Mo2 C12'
_cell_length_a 12.088
_cell_length_b 4.190
_cell_length_c 5.690
_cell_angle_alpha 90.00
_cell_angle_beta 98.86
_cell_angle_gamma 90.00
_symmetry_space_group_name_H-M 'C 1 2/m 1'
_symmetry_Int_Tables_number 12
loop_
_symmetry_equiv_pos_as_xyz
'x,y,z'
'-x,-y,-z'
'-x,y,-z'
'x,-y,z'
'x+1/2,y+1/2,z'
'-x+1/2,-y+1/2,-z'
'-x+1/2,y+1/2,-z'
'x+1/2,-y+1/2,z'
loop_
_atom_site_label
_atom_site_fract_x
_atom_site_fract_y
_atom_site_fract_z
_atom_site_occupancy
Sr1 0.237 0.000 0.260 1
Ta1 0.000 0.000 0.500 1
Mo1 0.000 0.500 0.000 1
C1 0.089 0.500 0.358 1
C2 0.099 0.154 0.865 1
# - size of the total moment (μB per cell) = 0.010
# - energy above the lowest structure with this stoichiometry (meV per atom) = 0


[3]
# TlCo3Bi5 | OQMD | PBE | relaxed
data_TlCo3Bi5
_chemical_formula_sum 'Tl1 Co3 Bi5'
_cell_length_a 5.5658
_cell_length_b 5.5658
_cell_length_c 8.3562
_cell_angle_alpha 90.00
_cell_angle_beta 90.00
_cell_angle_gamma 120.00
_symmetry_space_group_name_H-M 'P 6/m m m'
_symmetry_Int_Tables_number 191
_symmetry_space_group_name_Hall '-P 6 2'
loop_
_atom_site_label
_atom_site_fract_x
_atom_site_fract_y
_atom_site_fract_z
_atom_site_occupancy
Tl1 0.0000 0.0000 0.0000 1
Co1 0.0000 0.5000 0.5000 1
Bi1 0.0000 0.0000 0.5000 1
Bi2 0.3333 0.6667 0.2394 1
# - total DFT energy (no corrections) (eV/atom) = -4.7358
# - size of the total moment (μB per cell) = 1.432


[4]
# TmScMo2C3 | OQMD | PBE | relaxed
data_TmScMo2C3
_chemical_formula_sum 'Tm2 Sc2 Mo4 C6'
_cell_length_a 11.200
_cell_length_b 3.308
_cell_length_c 5.544
_cell_angle_alpha 90.00
_cell_angle_beta 109.96
_cell_angle_gamma 90.00
_symmetry_space_group_name_H-M 'C 1 m 1'
_symmetry_Int_Tables_number 8
loop_
_symmetry_equiv_pos_as_xyz
'x,y,z'
'x,-y,z'
'x+1/2,y+1/2,z'
'x+1/2,-y+1/2,z'
loop_
_atom_site_label
_atom_site_fract_x
_atom_site_fract_y
_atom_site_fract_z
_atom_site_occupancy
Tm1 0.000 0.000 0.000 1
Sc1 0.235 0.000 0.631 1
Mo1 0.262 0.500 0.180 1
Mo2 0.469 0.000 0.455 1
C1 0.118 0.500 0.328 1
C2 0.344 0.000 0.063 1
C3 0.381 0.500 0.563 1
# - total DFT energy (no corrections) (eV/atom) = -8.9551
# - size of the total moment (μB per cell) = 0.004


[5]
# PrCuTe2PbSe | OQMD | PBE | relaxed
data_PrCuTe2PbSe
_chemical_formula_sum 'Pr4 Cu4 Te8 Pb4 Se4'
_cell_length_a 4.284
_cell_length_b 14.591
_cell_length_c 11.005
_cell_angle_alpha 90.00
_cell_angle_beta 90.00
_cell_angle_gamma 90.00
_symmetry_space_group_name_H-M 'C m c m'
_symmetry_Int_Tables_number 63
_symmetry_space_group_name_Hall '-C 2c 2'
loop_
_atom_site_label
_atom_site_fract_x
_atom_site_fract_y
_atom_site_fract_z
_atom_site_occupancy
Pr1 0.000 0.000 0.000 1
Cu1 0.000 0.472 0.250 1
Te1 0.000 0.349 0.071 1
Pb1 0.000 0.260 0.750 1
Se1 0.000 0.073 0.250 1
# - total DFT energy (no corrections) (eV/atom) = -4.4650
# - size of the total moment (μB per cell) = 0.006


[6]
# Cd3AgF | OQMD | PBE | relaxed
data_Cd3AgF
_chemical_formula_sum 'Cd12 Ag4 F4'
_cell_length_a 4.891
_cell_length_b 21.876
_cell_length_c 3.768
_cell_angle_alpha 90.00
_cell_angle_beta 90.00
_cell_angle_gamma 90.00
_symmetry_space_group_name_H-M 'C m m m'
_symmetry_Int_Tables_number 65
_symmetry_space_group_name_Hall '-C 2 2'
loop_
_atom_site_label
_atom_site_fract_x
_atom_site_fract_y
_atom_site_fract_z
_atom_site_occupancy
Cd1 0.000 0.061 0.000 1
Cd2 0.000 0.223 0.500 1
Cd3 0.000 0.433 0.500 1
Ag1 0.000 0.326 0.000 1
F1 0.000 0.122 0.500 1
# - total DFT energy (no corrections) (eV/atom) = -1.8951


[7]
# Na4ErSb | OQMD | PBE | relaxed
data_Na4ErSb
_chemical_formula_sum 'Na8 Er2 Sb2'
_cell_length_a 9.345
_cell_length_b 9.401
_cell_length_c 5.510
_cell_angle_alpha 90.00
_cell_angle_beta 90.00
_cell_angle_gamma 90.00
_symmetry_space_group_name_H-M 'C m m m'
_symmetry_Int_Tables_number 65
_symmetry_space_group_name_Hall '-C 2 2'
loop_
_atom_site_label
_atom_site_fract_x
_atom_site_fract_y
_atom_site_fract_z
_atom_site_occupancy
Na1 0.000 0.196 0.000 1
Na2 0.153 0.500 0.500 1
Er1 0.000 0.000 0.500 1
Sb1 0.000 0.500 0.000 1
# - total DFT energy (no corrections) (eV/atom) = -1.8335
# - size of the total moment (μB per cell) = 3.745


[8]
# RbGa2Au2 | OQMD | PBE | relaxed
data_RbGa2Au2
_chemical_formula_sum 'Rb2 Ga4 Au4'
_cell_length_a 4.866
_cell_length_b 4.866
_cell_length_c 10.458
_cell_angle_alpha 90.00
_cell_angle_beta 90.00
_cell_angle_gamma 90.00
_symmetry_space_group_name_H-M 'I 4/m m m'
_symmetry_Int_Tables_number 139
_symmetry_space_group_name_Hall '-I 4 2'
loop_
_atom_site_label
_atom_site_fract_x
_atom_site_fract_y
_atom_site_fract_z
_atom_site_occupancy
Rb1 0.000 0.000 0.000 1
Ga1 0.000 0.000 0.356 1
Au1 0.000 0.500 0.250 1
# - energy above the lowest structure with this stoichiometry (meV per atom) = 0


[9]
# Rb4SiPtSe6 | OQMD | PBE | relaxed
data_Rb4SiPtSe6
_chemical_formula_sum 'Rb4 Si1 Pt1 Se6'
_cell_length_a 6.995
_cell_length_b 7.678
_cell_length_c 9.731
_cell_angle_alpha 69.28
_cell_angle_beta 69.55
_cell_angle_gamma 63.76
_symmetry_space_group_name_H-M 'P 1'
_symmetry_Int_Tables_number 1
loop_
_symmetry_equiv_pos_as_xyz
'x,y,z'
loop_
_atom_site_label
_atom_site_fract_x
_atom_site_fract_y
_atom_site_fract_z
_atom_site_occupancy
Rb1 0.000 0.000 0.000 1
Rb2 0.191 0.376 0.247 1
Rb3 0.426 0.716 0.443 1
Rb4 0.763 0.681 0.789 1
Si1 0.453 0.262 0.830 1
Pt1 0.694 0.151 0.469 1
Se1 0.280 0.578 0.854 1
Se2 0.340 0.210 0.650 1
Se3 0.477 0.010 0.037 1
Se4 0.721 0.349 0.215 1
Se5 0.795 0.222 0.655 1
Se6 0.891 0.847 0.384 1
# - total DFT energy (no corrections) (eV/atom) = -3.8087
# - size of the total moment (μB per cell) = 0.003


[10]
# Pr2SmMg3CdIn2 | OQMD | PBE | relaxed
data_Pr2SmMg3CdIn2
_chemical_formula_sum 'Pr4 Sm2 Mg6 Cd2 In4'
_cell_length_a 4.754
_cell_length_b 13.325
_cell_length_c 7.721
_cell_angle_alpha 90.00
_cell_angle_beta 90.00
_cell_angle_gamma 90.00
_symmetry_space_group_name_H-M 'A m m 2'
_symmetry_Int_Tables_number 38
loop_
_symmetry_equiv_pos_as_xyz
'x,y,z'
'-x,-y,z'
'-x,y,z'
'x,-y,z'
'x,y+1/2,z+1/2'
'-x,-y+1/2,z+1/2'
'-x,y+1/2,z+1/2'
'x,-y+1/2,z+1/2'
loop_
_atom_site_label
_atom_site_fract_x
_atom_site_fract_y
_atom_site_fract_z
_atom_site_occupancy
Pr1 0.000 0.211 0.000 1
Sm1 0.000 0.000 0.367 1
Mg1 0.500 0.000 0.028 1
Mg2 0.500 0.120 0.669 1
Cd1 0.000 0.000 0.787 1
In1 0.500 0.166 0.289 1
# - total DFT energy (no corrections) (eV/atom) = -3.1975
# - size of the total moment (μB per cell) = 0.049


[11]
# HfTlAgSe3 | OQMD | PBE | relaxed
data_HfTlAgSe3
_chemical_formula_sum 'Hf4 Tl4 Ag4 Se12'
_cell_length_a 7.747
_cell_length_b 4.193
_cell_length_c 17.609
_cell_angle_alpha 90.00
_cell_angle_beta 90.00
_cell_angle_gamma 90.00
_symmetry_space_group_name_H-M 'P n m a'
_symmetry_Int_Tables_number 62
loop_
_symmetry_equiv_pos_as_xyz
'x,y,z'
'-x,-y,-z'
'-x+1/2,-y,z+1/2'
'x+1/2,y,-z+1/2'
'x+1/2,-y+1/2,-z+1/2'
'-x+1/2,y+1/2,z+1/2'
'-x,y+1/2,-z'
'x,-y+1/2,z'
loop_
_atom_site_label
_atom_site_fract_x
_atom_site_fract_y
_atom_site_fract_z
_atom_site_occupancy
Hf1 0.245 0.250 0.042 1
Tl1 0.131 0.250 0.810 1
Ag1 0.030 0.250 0.327 1
Se1 0.009 0.250 0.572 1
Se2 0.126 0.750 0.958 1
Se3 0.181 0.250 0.188 1
# - size of the total moment (μB per cell) = 0.014
# - energy above the lowest structure with this stoichiometry (meV per atom) = 127


[12]
# NdSm2GdTl2 | OQMD | PBE | relaxed
data_NdSm2GdTl2
_chemical_formula_sum 'Nd1 Sm2 Gd1 Tl2'
_cell_length_a 5.5095
_cell_length_b 5.5095
_cell_length_c 6.8513
_cell_angle_alpha 90.00
_cell_angle_beta 90.00
_cell_angle_gamma 120.00
_symmetry_space_group_name_H-M 'P -6 m 2'
_symmetry_Int_Tables_number 187
_symmetry_space_group_name_Hall 'P -6 2'
loop_
_atom_site_label
_atom_site_fract_x
_atom_site_fract_y
_atom_site_fract_z
_atom_site_occupancy
Nd1 0.0000 0.0000 0.0000 1
Sm1 0.6667 0.3333 0.2593 1
Gd1 0.3333 0.6667 0.5000 1
Tl1 0.0000 0.0000 0.5000 1
Tl2 0.3333 0.6667 0.0000 1
# - total DFT energy (no corrections) (eV/atom) = -4.1987
# - size of the total moment (μB per cell) = 1.650


[13]
# TmAuSeO | OQMD | PBE | relaxed
data_TmAuSeO
_chemical_formula_sum 'Tm8 Au8 Se8 O8'
_cell_length_a 19.173
_cell_length_b 5.547
_cell_length_c 5.559
_cell_angle_alpha 90.00
_cell_angle_beta 90.00
_cell_angle_gamma 90.00
_symmetry_space_group_name_H-M 'A e a 2'
_symmetry_Int_Tables_number 41
loop_
_symmetry_equiv_pos_as_xyz
'x,y,z'
'-x,-y,z'
'-x+1/2,y+1/2,z'
'x+1/2,-y+1/2,z'
'x,y+1/2,z+1/2'
'-x,-y+1/2,z+1/2'
'-x+1/2,y,z+1/2'
'x+1/2,-y,z+1/2'
loop_
_atom_site_label
_atom_site_fract_x
_atom_site_fract_y
_atom_site_fract_z
_atom_site_occupancy
Tm1 0.056 0.250 0.000 1
Au1 0.250 0.002 0.003 1
Se1 0.138 0.251 0.501 1
O1 0.000 0.000 0.250 1
O2 0.000 0.000 0.750 1
# - size of the total moment (μB per cell) = 0.002
# - energy above the lowest structure with this stoichiometry (meV per atom) = 24


[14]
# Dy4BBr5 | OQMD | PBE | relaxed
data_Dy4BBr5
_chemical_formula_sum 'Dy8 B2 Br10'
_cell_length_a 17.933
_cell_length_b 3.908
_cell_length_c 8.191
_cell_angle_alpha 90.00
_cell_angle_beta 102.76
_cell_angle_gamma 90.00
_symmetry_space_group_name_H-M 'C 1 2/m 1'
_symmetry_Int_Tables_number 12
loop_
_symmetry_equiv_pos_as_xyz
'x,y,z'
'-x,-y,-z'
'-x,y,-z'
'x,-y,z'
'x+1/2,y+1/2,z'
'-x+1/2,-y+1/2,-z'
'-x+1/2,y+1/2,-z'
'x+1/2,-y+1/2,z'
loop_
_atom_site_label
_atom_site_fract_x
_atom_site_fract_y
_atom_site_fract_z
_atom_site_occupancy
Dy1 0.001 0.000 0.293 1
Dy2 0.142 0.500 0.575 1
B1 0.000 0.500 0.500 1
Br1 0.000 0.500 0.000 1
Br2 0.165 0.000 0.837 1
Br3 0.172 0.000 0.333 1
# - total DFT energy (no corrections) (eV/atom) = -4.7498
# - size of the total moment (μB per cell) = 0.004


[15]
# Lu2Hf4Fe3C3 | OQMD | PBE | relaxed
data_Lu2Hf4Fe3C3
_chemical_formula_sum 'Lu8 Hf16 Fe12 C12'
_cell_length_a 9.764
_cell_length_b 5.639
_cell_length_c 14.062
_cell_angle_alpha 90.00
_cell_angle_beta 104.53
_cell_angle_gamma 90.00
_symmetry_space_group_name_H-M 'C 1 2/c 1'
_symmetry_Int_Tables_number 15
loop_
_symmetry_equiv_pos_as_xyz
'x,y,z'
'-x,-y,-z'
'-x,y,-z+1/2'
'x,-y,z+1/2'
'x+1/2,y+1/2,z'
'-x+1/2,-y+1/2,-z'
'-x+1/2,y+1/2,-z+1/2'
'x+1/2,-y+1/2,z+1/2'
loop_
_atom_site_label
_atom_site_fract_x
_atom_site_fract_y
_atom_site_fract_z
_atom_site_occupancy
Lu1 0.040 0.083 0.381 1
Hf1 0.115 0.410 0.591 1
Hf2 0.221 0.419 0.909 1
Fe1 0.000 0.415 0.750 1
Fe2 0.245 0.160 0.750 1
C1 0.086 0.256 0.000 1
C2 0.250 0.250 0.500 1
# - total DFT energy (no corrections) (eV/atom) = -8.8122
# - size of the total moment (μB per cell) = 11.790


[16]
# RbGa3Tc | OQMD | PBE | relaxed
data_RbGa3Tc
_chemical_formula_sum 'Rb1 Ga3 Tc1'
_cell_length_a 4.950
_cell_length_b 4.950
_cell_length_c 4.950
_cell_angle_alpha 90.00
_cell_angle_beta 90.00
_cell_angle_gamma 90.00
_symmetry_space_group_name_H-M 'P m -3 m'
_symmetry_Int_Tables_number 221
_symmetry_space_group_name_Hall '-P 4 2 3'
loop_
_atom_site_label
_atom_site_fract_x
_atom_site_fract_y
_atom_site_fract_z
_atom_site_occupancy
Rb1 0.000 0.000 0.000 1
Ga1 0.000 0.500 0.500 1
Tc1 0.500 0.500 0.500 1
# - total DFT energy (no corrections) (eV/atom) = -4.2254
# - size of the total moment (μB per cell) = 0.005


[17]
# NdHoZn | OQMD | PBE | relaxed
data_NdHoZn
_chemical_formula_sum 'Nd4 Ho4 Zn4'
_cell_length_a 7.085
_cell_length_b 7.085
_cell_length_c 7.085
_cell_angle_alpha 90.00
_cell_angle_beta 90.00
_cell_angle_gamma 90.00
_symmetry_space_group_name_H-M 'F -4 3 m'
_symmetry_Int_Tables_number 216
_symmetry_space_group_name_Hall 'F -4 2 3'
loop_
_atom_site_label
_atom_site_fract_x
_atom_site_fract_y
_atom_site_fract_z
_atom_site_occupancy
Nd1 0.000 0.000 0.000 1
Ho1 0.000 0.000 0.500 1
Zn1 0.250 0.250 0.750 1
# - size of the total moment (μB per cell) = 0.189
# - formation energy (eV per atom) = 0.02
# - energy above the lowest structure with this stoichiometry (meV per atom) = 93


[18]
# LiLuInAg | OQMD | PBE | relaxed
data_LiLuInAg
_chemical_formula_sum 'Li4 Lu4 In4 Ag4'
_cell_length_a 6.875
_cell_length_b 6.875
_cell_length_c 6.875
_cell_angle_alpha 90.00
_cell_angle_beta 90.00
_cell_angle_gamma 90.00
_symmetry_space_group_name_H-M 'F -4 3 m'
_symmetry_Int_Tables_number 216
_symmetry_space_group_name_Hall 'F -4 2 3'
loop_
_atom_site_label
_atom_site_fract_x
_atom_site_fract_y
_atom_site_fract_z
_atom_site_occupancy
Li1 0.000 0.000 0.000 1
Lu1 0.250 0.250 0.250 1
In1 0.000 0.000 0.500 1
Ag1 0.250 0.250 0.750 1
# - size of the total moment (μB per cell) = 0.001
# - energy above the lowest structure with this stoichiometry (meV per atom) = 113


[19]
# Dy4Re3Si | OQMD | PBE | relaxed
data_Dy4Re3Si
_chemical_formula_sum 'Dy4 Re3 Si1'
_cell_length_a 5.748
_cell_length_b 5.748
_cell_length_c 5.748
_cell_angle_alpha 90.00
_cell_angle_beta 90.00
_cell_angle_gamma 90.00
_symmetry_space_group_name_H-M 'P m -3 m'
_symmetry_Int_Tables_number 221
_symmetry_space_group_name_Hall '-P 4 2 3'
loop_
_atom_site_label
_atom_site_fract_x
_atom_site_fract_y
_atom_site_fract_z
_atom_site_occupancy
Dy1 0.000 0.000 0.000 1
Dy2 0.000 0.500 0.500 1
Re1 0.000 0.000 0.500 1
Si1 0.500 0.500 0.500 1
# - total DFT energy (no corrections) (eV/atom) = -6.7134
# - size of the total moment (μB per cell) = 1.893


[20]
# LuSnPO | OQMD | PBE | relaxed
data_LuSnPO
_chemical_formula_sum 'Lu2 Sn2 P2 O2'
_cell_length_a 3.881
_cell_length_b 8.327
_cell_length_c 5.758
_cell_angle_alpha 90.00
_cell_angle_beta 90.00
_cell_angle_gamma 90.00
_symmetry_space_group_name_H-M 'P m c 21'
_symmetry_Int_Tables_number 26
loop_
_symmetry_equiv_pos_as_xyz
'x,y,z'
'-x,-y,z+1/2'
'-x,y,z'
'x,-y,z+1/2'
loop_
_atom_site_label
_atom_site_fract_x
_atom_site_fract_y
_atom_site_fract_z
_atom_site_occupancy
Lu1 0.000 0.153 0.000 1
Sn1 0.500 0.365 0.598 1
P1 0.000 0.171 0.482 1
O1 0.500 0.240 0.944 1
# - size of the total moment (μB per cell) = 0.007
# - energy above the lowest structure with this stoichiometry (meV per atom) = 0